Material: LiPaPd2Se4
Method: DFT, PBE
State: optimized geometry

Structure (POSCAR):
```
LiPaPd2Se4
1.0
-6.1818 0.6887 3.1030
-3.5585 -4.5305 1.7020
-0.9081 0.1860 5.9352
Se Pa Pd Li
4 1 2 1
direct
0.5053 0.0846 0.4986
0.9115 0.4986 0.0846
0.0885 0.9154 0.5014
0.4947 0.5014 0.9154
0.0000 0.0000 0.0000
0.7810 0.7190 0.7190
0.2190 0.2810 0.2810
0.5000 0.5000 0.5000
```

Values from the calculation:
* uncorrected energy: -42.14 eV/cell
* density of states at the Fermi level: 0.300 states/eV/atom
* formation energy from raw total energies: -800 meV/atom
* volume: 20.9 Å³ per atom